K2MnTl2F6 | GGA+U | relaxed

Properties
V	228.7	Å³ per cell
electronic total energy	-4.69	eV per atom
space-group type	No. 12
Fermi-level density of states	0.0	states/eV per cell

The structure in POSCAR format:
```
K2MnTl2F6
1.0
3.315 -5.491 0.000
3.315 5.491 0.000
-1.845 0.000 6.283
K Mn Tl F
2 1 2 6
Cartesian
3.315 3.762 0.000 K
3.315 -3.762 0.000 K
3.315 0.000 0.000 Mn
2.392 1.878 3.142 Tl
2.392 -1.878 3.142 Tl
0.549 1.565 5.115 F
1.607 0.000 1.401 F
0.549 -1.565 5.115 F
4.235 1.565 1.168 F
3.177 0.000 4.882 F
4.235 -1.565 1.168 F
```